[1]
# AlSiRu2 (PBE, relaxed)
data_AlSiRu2
_chemical_formula_sum 'Al1 Si1 Ru2'
_cell_length_a 2.989
_cell_length_b 3.886
_cell_length_c 4.770
_cell_angle_alpha 90.00
_cell_angle_beta 90.00
_cell_angle_gamma 90.00
_symmetry_space_group_name_H-M 'P m m m'
_symmetry_Int_Tables_number 47
_symmetry_space_group_name_Hall '-P 2 2'
loop_
_atom_site_label
_atom_site_fract_x
_atom_site_fract_y
_atom_site_fract_z
Al1 0.000 0.000 0.000
Si1 0.500 0.000 0.500
Ru1 0.000 0.500 0.500
Ru2 0.500 0.500 0.000
# Crystal system = orthorhombic
# Polymorph energy (0 for the lowest one) = 437 meV/atom
# Raw formation energy = -0.278 eV per atom


[2]
# Hf2MgPt6 (PBE, relaxed)
data_Hf2MgPt6
_chemical_formula_sum 'Hf4 Mg2 Pt12'
_cell_length_a 4.014
_cell_length_b 7.502
_cell_length_c 11.611
_cell_angle_alpha 90.00
_cell_angle_beta 90.00
_cell_angle_gamma 90.00
_symmetry_space_group_name_H-M 'I m m m'
_symmetry_Int_Tables_number 71
_symmetry_space_group_name_Hall '-I 2 2'
loop_
_atom_site_label
_atom_site_fract_x
_atom_site_fract_y
_atom_site_fract_z
Hf1 0.000 0.000 0.164
Mg1 0.000 0.000 0.500
Pt1 0.000 0.252 0.000
Pt2 0.000 0.253 0.335
# Energy relative to the elements = -0.769 eV/atom
# Crystal system = orthorhombic


[3]
# LaNi2BRu (PBE, relaxed)
data_LaNi2BRu
_chemical_formula_sum 'La1 Ni2 B1 Ru1'
_cell_length_a 4.120
_cell_length_b 4.120
_cell_length_c 4.235
_cell_angle_alpha 90.00
_cell_angle_beta 90.00
_cell_angle_gamma 90.00
_symmetry_space_group_name_H-M 'P 4/m m m'
_symmetry_Int_Tables_number 123
_symmetry_space_group_name_Hall '-P 4 2'
loop_
_atom_site_label
_atom_site_fract_x
_atom_site_fract_y
_atom_site_fract_z
La1 0.000 0.000 0.000
Ni1 0.000 0.500 0.500
B1 0.500 0.500 0.500
Ru1 0.500 0.500 0.000
# Energy relative to the elements = -0.334 eV/atom
# Crystal system = tetragonal


[4]
# DyTmLu2 (PBE, relaxed)
data_DyTmLu2
_chemical_formula_sum 'Dy4 Tm4 Lu8'
_cell_length_a 7.858
_cell_length_b 7.858
_cell_length_c 7.858
_cell_angle_alpha 90.00
_cell_angle_beta 90.00
_cell_angle_gamma 90.00
_symmetry_space_group_name_H-M 'F m -3 m'
_symmetry_Int_Tables_number 225
_symmetry_space_group_name_Hall '-F 4 2 3'
loop_
_atom_site_label
_atom_site_fract_x
_atom_site_fract_y
_atom_site_fract_z
Dy1 0.000 0.000 0.000
Tm1 0.000 0.000 0.500
Lu1 0.250 0.250 0.250
# Energy relative to the elements = 0.128 eV/atom
# Crystal system = cubic
# Polymorph energy (0 for the lowest one) = 97 meV/atom


[5]
# SmYCoAu (PBE, relaxed)
data_SmYCoAu
_chemical_formula_sum 'Sm4 Y4 Co4 Au4'
_cell_length_a 7.066
_cell_length_b 7.066
_cell_length_c 7.066
_cell_angle_alpha 90.00
_cell_angle_beta 90.00
_cell_angle_gamma 90.00
_symmetry_space_group_name_H-M 'F -4 3 m'
_symmetry_Int_Tables_number 216
_symmetry_space_group_name_Hall 'F -4 2 3'
loop_
_atom_site_label
_atom_site_fract_x
_atom_site_fract_y
_atom_site_fract_z
Sm1 0.000 0.000 0.000
Y1 0.000 0.000 0.500
Co1 0.250 0.250 0.750
Au1 0.250 0.250 0.250
# Energy relative to the elements = -0.389 eV/atom
# Crystal system = cubic


[6]
# ReSnTe (PBE, relaxed)
data_ReSnTe
_chemical_formula_sum 'Re2 Sn2 Te2'
_cell_length_a 3.747
_cell_length_b 5.740
_cell_length_c 7.006
_cell_angle_alpha 84.96
_cell_angle_beta 75.03
_cell_angle_gamma 89.03
_symmetry_space_group_name_H-M 'P -1'
_symmetry_Int_Tables_number 2
_symmetry_space_group_name_Hall '-P 1'
loop_
_atom_site_label
_atom_site_fract_x
_atom_site_fract_y
_atom_site_fract_z
Re1 0.229 0.350 0.024
Sn1 0.423 0.665 0.660
Te1 0.147 0.884 0.203
# Crystal system = triclinic
# Raw formation energy = 0.246 eV per atom


Number 1: magnetization 0.00 μB/cell. Number 2: magnetization 0.00 μB/cell. Number 3: magnetization 0.00 μB/cell. Number 4: magnetization 0.07 μB/cell. Number 5: magnetization 2.21 μB/cell. Number 6: magnetization 0.00 μB/cell.